8
Lattice="4.1033 0.0000 0.0000 0.0000 7.5820 0.0000 0.0000 0.0000 4.1053" Properties=species:S:1:pos:R:3 comment="ZrBe, relaxed, DFT PBE-GGA" final_energy_ev_per_cell=-47.88 pbc="T T T"
Zr 0.0000 0.0000 0.0000
Zr 0.0000 2.1781 2.0507
Zr 0.0000 5.4039 2.0507
Zr 2.0516 0.0000 2.0558
Be 0.0000 3.7910 4.1021
Be 2.0516 2.3352 0.0002
Be 2.0516 3.7910 2.0410
Be 2.0516 5.2468 0.0002



8
Lattice="3.2804 0.0000 0.0000 -1.6402 2.8409 0.0000 0.0000 0.0000 13.2443" Properties=species:S:1:pos:R:3 comment="Zr4FeCoC2, relaxed, DFT PBE-GGA" final_energy_ev_per_cell=-70.43 pbc="T T T"
Zr 0.0000 0.0000 1.9624
Zr 0.0000 0.0000 11.2818
Zr 1.6402 0.9470 4.6464
Zr 1.6402 0.9470 8.5979
Fe 0.0000 0.0000 6.6221
Co 1.6402 0.9470 0.0000
C 0.0000 1.8939 3.2880
C 0.0000 1.8939 9.9563



8
Lattice="3.4361 0.0000 0.0000 0.0000 6.4853 0.0000 0.0000 0.0000 5.9909" Properties=species:S:1:pos:R:3 comment="GdSnNO, relaxed, DFT PBE-GGA" final_energy_ev_per_cell=-55.36 pbc="T T T"
Gd 0.0000 0.6727 0.0000
Gd 0.0000 5.8126 2.9954
Sn 1.7181 2.4638 2.9238
Sn 1.7181 4.0214 5.9192
N 0.0000 1.5069 2.1549
N 0.0000 4.9784 5.1503
O 1.7181 0.6673 4.4120
O 1.7181 5.8180 1.4165



8
Lattice="4.0551 0.0000 0.0000 0.0000 4.0551 0.0000 0.0000 0.0000 9.5979" Properties=species:S:1:pos:R:3 comment="PaAlPO, relaxed, DFT PBE-GGA" final_energy_ev_per_cell=-51.01 pbc="T T T"
Pa 1.0138 3.0413 0.0000
Pa 3.0413 1.0138 0.0000
Al 1.0138 1.0138 4.2784
Al 3.0413 3.0413 5.3195
P 1.0138 1.0138 1.9728
P 3.0413 3.0413 7.6251
O 1.0138 3.0413 4.7989
O 3.0413 1.0138 4.7989



16
Lattice="-3.9798 3.9798 6.8985 3.9798 -3.9798 6.8985 3.9798 3.9798 -6.8985" Properties=species:S:1:pos:R:3 comment="Tb5Ga2Pb, relaxed, DFT PBE-GGA" final_energy_ev_per_cell=-74.12 pbc="T T T"
Tb 0.0000 0.0000 0.0000
Tb 5.2596 1.2798 -1.9671
Tb 1.2798 2.7000 -1.9671
Tb 5.2596 1.2798 1.9671
Tb 1.2798 2.7000 1.9671
Tb 0.0000 0.0000 6.8985
Tb 2.7000 1.2798 4.9314
Tb -1.2798 2.7000 4.9314
Tb 2.7000 1.2798 8.8655
Tb -1.2798 2.7000 8.8655
Ga 2.9187 1.0611 0.0000
Ga 2.9187 -1.0611 6.8985
Ga 1.0611 5.0409 0.0000
Ga 1.0611 2.9187 6.8985
Pb 0.0000 0.0000 3.4492
Pb 0.0000 0.0000 10.3477



12
Lattice="7.0418 0.0000 0.0000 0.0000 7.0418 0.0000 0.0000 0.0000 7.0418" Properties=species:S:1:pos:R:3 comment="GdZrHg, relaxed, DFT PBE-GGA" final_energy_ev_per_cell=-45.23 pbc="T T T"
Gd 0.0000 0.0000 0.0000
Gd 0.0000 3.5209 3.5209
Gd 3.5209 0.0000 3.5209
Gd 3.5209 3.5209 0.0000
Zr 1.7604 1.7604 1.7604
Zr 1.7604 5.2813 5.2813
Zr 5.2813 1.7604 5.2813
Zr 5.2813 5.2813 1.7604
Hg 1.7604 1.7604 5.2813
Hg 1.7604 5.2813 1.7604
Hg 5.2813 1.7604 1.7604
Hg 5.2813 5.2813 5.2813



6
Lattice="3.9656 0.0000 0.0000 0.0000 3.9656 0.0000 0.0000 0.0000 6.7329" Properties=species:S:1:pos:R:3 comment="GdCoSi, relaxed, DFT PBE-GGA" final_energy_ev_per_cell=-38.76 pbc="T T T"
Gd 0.9914 0.9914 1.2240
Gd 2.9742 2.9742 5.5089
Co 0.9914 2.9742 3.3665
Co 2.9742 0.9914 3.3665
Si 0.9914 0.9914 4.5777
Si 2.9742 2.9742 2.1552



16
Lattice="6.6413 0.0000 0.0000 0.0000 6.6413 0.0000 0.0000 0.0000 6.6413" Properties=species:S:1:pos:R:3 comment="Ta2CdGa, relaxed, DFT PBE-GGA" final_energy_ev_per_cell=-103.12 pbc="T T T"
Ta 0.0000 0.0000 0.0000
Ta 0.0000 3.3206 3.3206
Ta 1.6603 1.6603 1.6603
Ta 1.6603 4.9810 4.9810
Ta 3.3206 0.0000 3.3206
Ta 3.3206 3.3206 0.0000
Ta 4.9810 1.6603 4.9810
Ta 4.9810 4.9810 1.6603
Cd 1.6603 1.6603 4.9810
Cd 1.6603 4.9810 1.6603
Cd 4.9810 1.6603 1.6603
Cd 4.9810 4.9810 4.9810
Ga 0.0000 0.0000 3.3206
Ga 0.0000 3.3206 0.0000
Ga 3.3206 0.0000 0.0000
Ga 3.3206 3.3206 3.3206